Entry from the Alexandria database: a relaxed structure of TlIr2Pb (GGA-PBE).

Results
- DFT total energy (eV/atom) = -5.276
- energy of formation (eV/atom) = 0.6732
- distance to the lowest polymorph of the same formula (eV/f.u.) = 1.056

Cell: 5.7191 5.7191 5.7191 Å, 139.65 139.65 58.38°
Fractional positions:
Pb (0.5000, 0.5000, 0.0000)
Ir (0.0000, 0.0000, 0.0000)
Tl (0.7500, 0.2500, 0.5000)
Ir (0.2500, 0.7500, 0.5000)



Entry from the Alexandria database: a relaxed structure of Tl2IrPb (GGA-PBE).

Results
- DFT total energy (eV/atom) = -3.921
- energy of formation (eV/atom) = 0.4049
- distance to the lowest polymorph of the same formula (eV/f.u.) = 0.691

Cell: 10.6423 10.6423 10.6423 Å, 17.95 17.95 17.95°
Fractional positions:
Ir (0.2500, 0.2500, 0.2500)
Pb (0.7500, 0.7500, 0.7500)
Tl (0.5153, 0.5153, 0.5153)
Tl (0.9847, 0.9847, 0.9847)



Entry from the Alexandria database: a relaxed structure of TlIr2Pb (GGA-PBE).

Results
- DFT total energy (eV/atom) = -5.520
- energy of formation (eV/atom) = 0.4287
- distance to the lowest polymorph of the same formula (eV/f.u.) = 0.078

Cell: 3.1944 3.1944 8.6182 Å, 90.00 90.00 90.00°
Fractional positions:
Ir (0.5000, 0.5000, 0.2040)
Ir (0.0000, 0.0000, 0.0518)
Tl (0.5000, 0.5000, 0.8003)
Pb (0.0000, 0.0000, 0.4439)